Here is MgBiSb2 after structural relaxation from Alexandria. Energies are from PBE-GGA.

The calculation puts the uncorrected formation energy at 10 kJ/mol of formula units.

The structure belongs to space group I-42d (No. 122); the cell edges are 6.691, 6.691 and 13.877 Å and the angles 90.00°, 90.00° and 90.00°. The distinct sites, in fractional coordinates, are Mg at (0.000, 0.000, 0.000), Bi at (0.000, 0.000, 0.500) and Sb at (0.225, 0.250, 0.125).

=====

Here is CrCu2P after structural relaxation from Alexandria. Energies are from PBE-GGA.

Its energy of formation from the pure elements is 0.13 eV per atom.

The structure belongs to space group C2/m (No. 12); the cell edges are 4.769, 9.218 and 2.574 Å and the angles 90.00°, 121.08° and 90.00°. The distinct sites, in fractional coordinates, are Cr at (0.000, 0.000, 0.000), Cu at (0.250, 0.250, 0.500) and P at (0.000, 0.500, 0.000).

=====

Here is Sc2Zn2Pt after structural relaxation from Alexandria. Energies are from PBE-GGA.

Its energy of formation from the pure elements is -0.64 eV per atom.

The structure belongs to space group Cmmm (No. 65); the cell edges are 4.049, 13.522 and 3.207 Å and the angles 90.00°, 90.00° and 90.00°. The distinct sites, in fractional coordinates, are Sc at (0.000, 0.109, 0.000), Zn at (0.000, 0.301, 0.500) and Pt at (0.000, 0.500, 0.500).

=====

Here is BaCd6Au2 after structural relaxation from Alexandria. Energies are from PBE-GGA.

Its energy of formation from the pure elements is -0.20 eV per atom.

The structure belongs to space group C2/m (No. 12); the cell edges are 10.533, 7.227 and 6.150 Å and the angles 90.00°, 97.54° and 90.00°. The distinct sites, in fractional coordinates, are Ba at (0.000, 0.000, 0.000), Cd at (0.000, 0.288, 0.500), Cd at (0.240, 0.294, 0.267) and Au at (0.114, 0.500, 0.896).

=====

Here is K2InH4 after structural relaxation from Alexandria. Energies are from PBE-GGA.

The value obtained for the final energy is -2.65 eV per atom.

The structure belongs to space group I4/mmm (No. 139); the cell edges are 4.175, 4.175 and 13.975 Å and the angles 90.00°, 90.00° and 90.00°. The distinct sites, in fractional coordinates, are K at (0.000, 0.000, 0.146), In at (0.000, 0.000, 0.500), H at (0.000, 0.000, 0.343) and H at (0.000, 0.500, 0.000).

=====

Here is Ga2Pb2Au after structural relaxation from Alexandria. Energies are from PBE-GGA.

Its energy of formation from the pure elements is 0.04 eV per atom.

The structure belongs to space group I4/mmm (No. 139); the cell edges are 3.726, 3.726 and 17.824 Å and the angles 90.00°, 90.00° and 90.00°. The distinct sites, in fractional coordinates, are Ga at (0.000, 0.500, 0.250), Pb at (0.000, 0.000, 0.098) and Au at (0.000, 0.000, 0.500).